## NpVPtO6 (PBE+U)

Data for crystalline NpVPtO6 at its relaxed geometry.

Values from the calculation:
As for the space group: No. 163. The calculation puts the total magnetic moment at 7.6 Bohr magnetons per cell. As for the density of states at the Fermi level: 6.8 states/eV per cell. The raw total energy is -8.03 eV per atom.

Cell lengths 5.3054, 5.3054, 8.8295 Å; angles 90.00, 90.00, 120.00 degrees
Last column: nearest neighbours and their distance in Å.
Positions (direct):
V1 0.3333 0.6667 0.2500  6 O 2.04
V2 0.6667 0.3333 0.7500  6 O 2.04
O1 0.0109 0.3396 0.1266  1 V 2.04, 1 Pt 2.10, 1 Np 2.11
O2 0.6713 0.0109 0.8734  1 V 2.04, 1 Pt 2.10, 1 Np 2.11
O3 0.0109 0.6713 0.3734  1 V 2.04, 1 Pt 2.10, 1 Np 2.11
O4 0.6713 0.6604 0.6266  1 V 2.04, 1 Pt 2.10, 1 Np 2.11
O5 0.9891 0.6604 0.8734  1 V 2.04, 1 Pt 2.10, 1 Np 2.11
O6 0.3287 0.3396 0.3734  1 V 2.04, 1 Pt 2.10, 1 Np 2.11
O7 0.6604 0.9891 0.3734  1 V 2.04, 1 Pt 2.10, 1 Np 2.11
O8 0.3396 0.3287 0.8734  1 V 2.04, 1 Pt 2.10, 1 Np 2.11
O9 0.6604 0.6713 0.1266  1 V 2.04, 1 Pt 2.10, 1 Np 2.11
O10 0.3287 0.9891 0.1266  1 V 2.04, 1 Pt 2.10, 1 Np 2.11
O11 0.9891 0.3287 0.6266  1 V 2.04, 1 Pt 2.10, 1 Np 2.11
O12 0.3396 0.0109 0.6266  1 V 2.04, 1 Pt 2.10, 1 Np 2.11
Pt1 0.0000 0.0000 0.0000  6 O 2.10
Pt2 0.0000 0.0000 0.5000  6 O 2.10
Np1 0.3333 0.6667 0.7500  6 O 2.11
Np2 0.6667 0.3333 0.2500  6 O 2.11